Below is crystalline AlAsC3 at its relaxed geometry, with properties calculated at the PBE-GGA level.

Output
The energy relative to the lowest polymorph listed for this composition is 0.093 eV/atom. As for the formation energy: 2.490 eV/atom. Its space group is Pm-3m (221). As for the final energy: -4.723 eV/atom.

a = 3.913 Å, b = 3.913 Å, c = 3.913 Å
α = 90.00°, β = 90.00°, γ = 90.00°
Fractional coordinates of all 5 atoms:
C (0.000, 0.500, 0.000)
C (0.000, 0.000, 0.500)
C (0.500, 0.000, 0.000)
As (0.000, 0.000, 0.000)
Al (0.500, 0.500, 0.500)



Below is crystalline LiIn2Ni at its relaxed geometry, with properties calculated at the PBE-GGA level.

Output
As for the formation energy: -0.177 eV/atom. Its space group is Pmmm (47). As for the final energy: -3.470 eV/atom.

a = 3.201 Å, b = 3.422 Å, c = 6.251 Å
α = 90.00°, β = 90.00°, γ = 90.00°
Fractional coordinates of all 4 atoms:
Ni (0.500, 0.500, 0.750)
Li (0.500, 0.500, 0.250)
In (0.000, 0.000, 0.987)
In (0.000, 0.000, 0.513)



Below is crystalline LaHfAu at its relaxed geometry, with properties calculated at the PBE-GGA level.

Output
The energy relative to the lowest polymorph listed for this composition is 1.036 eV/atom. As for the formation energy: 0.631 eV/atom. Its space group is F-43m (216). As for the final energy: -5.422 eV/atom.

a = 4.899 Å, b = 4.899 Å, c = 4.899 Å
α = 60.00°, β = 60.00°, γ = 60.00°
Fractional coordinates of all 3 atoms:
Hf (0.250, 0.250, 0.250)
Au (0.750, 0.750, 0.750)
La (0.000, 0.000, 0.000)



Below is crystalline Co2TcAs2 at its relaxed geometry, with properties calculated at the PBE-GGA level.

Output
The energy relative to the lowest polymorph listed for this composition is 0.209 eV/atom. As for the formation energy: 0.250 eV/atom. Its space group is I4/mmm (139). As for the final energy: -6.526 eV/atom.

a = 3.549 Å, b = 3.549 Å, c = 6.098 Å
α = 73.08°, β = 73.08°, γ = 90.00°
Fractional coordinates of all 5 atoms:
As (0.381, 0.381, 0.238)
As (0.619, 0.619, 0.762)
Co (0.750, 0.250, 0.500)
Co (0.250, 0.750, 0.500)
Tc (0.000, 0.000, 0.000)



Below is crystalline CrSbP2Cl at its relaxed geometry, with properties calculated at the PBE-GGA level.

Output
The energy relative to the lowest polymorph listed for this composition is 0.000 eV/atom. The calculation puts the formation energy without anion corrections at 0.095 eV/atom. Its space group is P4/mmm (123). As for the final energy: -5.187 eV/atom.

a = 4.321 Å, b = 5.366 Å, c = 4.321 Å
α = 90.00°, β = 90.00°, γ = 90.00°
Fractional coordinates of all 5 atoms:
Sb (0.000, 0.500, 0.000)
Cl (0.500, 0.500, 0.500)
P (0.000, 0.000, 0.500)
P (0.500, 0.000, 0.000)
Cr (0.000, 0.000, 0.000)



Below is crystalline HoEr2Cu2 at its relaxed geometry, with properties calculated at the PBE-GGA level.

Output
The energy relative to the lowest polymorph listed for this composition is 0.000 eV/atom. As for the formation energy: -0.186 eV/atom. Its space group is P2_1/m (11). As for the final energy: -4.565 eV/atom.

a = 3.469 Å, b = 5.022 Å, c = 12.982 Å
α = 90.00°, β = 97.66°, γ = 90.00°
Fractional coordinates of all 10 atoms:
Ho (0.858, 0.750, 0.717)
Ho (0.142, 0.250, 0.283)
Er (0.047, 0.750, 0.093)
Er (0.953, 0.250, 0.907)
Er (0.230, 0.750, 0.460)
Er (0.770, 0.250, 0.540)
Cu (0.641, 0.750, 0.280)
Cu (0.359, 0.250, 0.720)
Cu (0.453, 0.750, 0.908)
Cu (0.547, 0.250, 0.092)



Below is crystalline CrGaPt2 at its relaxed geometry, with properties calculated at the PBE-GGA level.

Output
As for the formation energy: -0.308 eV/atom. Its space group is P4/mmm (123). As for the final energy: -6.491 eV/atom.

a = 2.779 Å, b = 2.779 Å, c = 7.513 Å
α = 90.00°, β = 90.00°, γ = 90.00°
Fractional coordinates of all 4 atoms:
Cr (0.500, 0.500, 0.500)
Ga (0.500, 0.500, 0.000)
Pt (0.000, 0.000, 0.746)
Pt (0.000, 0.000, 0.254)



Below is crystalline Ac4Pr3Er4 at its relaxed geometry, with properties calculated at the PBE-GGA level.

Output
As for the formation energy: 0.049 eV/atom. Its space group is Cm (8). As for the final energy: -4.407 eV/atom.

a = 3.718 Å, b = 5.906 Å, c = 19.009 Å
α = 98.92°, β = 95.43°, γ = 90.02°
Fractional coordinates of all 11 atoms:
Ac (0.635, 0.089, 0.177)
Ac (0.325, 0.280, 0.559)
Ac (0.768, 0.722, 0.444)
Ac (0.446, 0.904, 0.809)
Pr (0.181, 0.634, 0.268)
Pr (0.915, 0.371, 0.742)
Pr (0.038, 0.995, 0.989)
Er (0.089, 0.543, 0.086)
Er (0.510, 0.464, 0.927)
Er (0.865, 0.820, 0.640)
Er (0.228, 0.180, 0.360)



Below is crystalline RbPr2AgTe4 at its relaxed geometry, with properties calculated at the PBE-GGA level.

Output
The calculation puts the formation energy without anion corrections at -1.187 eV/atom. Its space group is Cmcm (63). As for the final energy: -4.430 eV/atom.

a = 4.607 Å, b = 8.150 Å, c = 16.157 Å
α = 90.00°, β = 90.00°, γ = 106.42°
Fractional coordinates of all 16 atoms:
Rb (0.120, 0.239, 0.750)
Rb (0.880, 0.761, 0.250)
Pr (0.368, 0.735, 0.567)
Pr (0.632, 0.265, 0.067)
Pr (0.632, 0.265, 0.433)
Pr (0.368, 0.735, 0.933)
Ag (0.842, 0.683, 0.750)
Ag (0.158, 0.317, 0.250)
Te (0.266, 0.533, 0.109)
Te (0.734, 0.467, 0.609)
Te (0.734, 0.467, 0.891)
Te (0.266, 0.533, 0.391)
Te (0.000, 0.000, 0.500)
Te (0.000, 0.000, 0.000)
Te (0.444, 0.889, 0.750)
Te (0.556, 0.111, 0.250)



Below is crystalline LaAlI2O at its relaxed geometry, with properties calculated at the PBE-GGA level.

Output
The energy relative to the lowest polymorph listed for this composition is 0.137 eV/atom. The calculation puts the formation energy without anion corrections at -1.118 eV/atom. Its space group is P4/mmm (123). As for the final energy: -4.463 eV/atom.

a = 6.034 Å, b = 6.034 Å, c = 3.565 Å
α = 90.00°, β = 90.00°, γ = 90.00°
Fractional coordinates of all 5 atoms:
I (0.000, 0.500, 0.000)
I (0.500, 0.000, 0.000)
Al (0.000, 0.000, 0.000)
O (0.000, 0.000, 0.500)
La (0.500, 0.500, 0.500)



Below is crystalline B3SN3 at its relaxed geometry, with properties calculated at the PBE-GGA level.

Output
The calculation puts the formation energy without anion corrections at 0.215 eV/atom. Its space group is Pm-3n (223). As for the final energy: -6.804 eV/atom.

a = 4.687 Å, b = 4.687 Å, c = 4.687 Å
α = 90.00°, β = 90.00°, γ = 90.00°
Fractional coordinates of all 14 atoms:
B (0.250, 0.000, 0.500)
B (0.000, 0.500, 0.250)
B (0.500, 0.750, 0.000)
B (0.750, 0.000, 0.500)
B (0.000, 0.500, 0.750)
B (0.500, 0.250, 0.000)
S (0.500, 0.500, 0.500)
S (0.000, 0.000, 0.000)
N (0.000, 0.250, 0.500)
N (0.000, 0.750, 0.500)
N (0.500, 0.000, 0.750)
N (0.750, 0.500, 0.000)
N (0.500, 0.000, 0.250)
N (0.250, 0.500, 0.000)



Below is crystalline LiVBi at its relaxed geometry, with properties calculated at the PBE-GGA level.

Output
The energy relative to the lowest polymorph listed for this composition is 0.367 eV/atom. As for the formation energy: 0.303 eV/atom. Its space group is F-43m (216). As for the final energy: -4.668 eV/atom.

a = 4.442 Å, b = 4.442 Å, c = 4.442 Å
α = 60.00°, β = 60.00°, γ = 60.00°
Fractional coordinates of all 3 atoms:
Li (0.750, 0.750, 0.750)
Bi (0.000, 0.000, 0.000)
V (0.500, 0.500, 0.500)